[1]
K8Te6As | PBE | relaxed

```
K8Te6As
1.0
10.450 0.000 0.000
0.000 9.577 0.000
0.000 0.000 13.169
K Te As
16 12 2
Direct
0.000 0.149 0.000
0.000 0.186 0.511
0.172 0.515 0.149
0.184 0.684 0.848
0.195 0.937 0.234
0.305 0.063 0.734
0.316 0.316 0.348
0.328 0.485 0.649
0.500 0.814 0.011
0.500 0.851 0.500
0.672 0.485 0.649
0.684 0.316 0.348
0.695 0.063 0.734
0.805 0.937 0.234
0.816 0.684 0.848
0.828 0.515 0.149
0.000 0.232 0.259
0.000 0.459 0.683
0.000 0.792 0.049
0.000 0.898 0.668
0.213 0.666 0.424
0.287 0.334 0.924
0.500 0.102 0.168
0.500 0.208 0.549
0.500 0.541 0.183
0.500 0.768 0.759
0.713 0.334 0.924
0.787 0.666 0.424
0.000 0.674 0.542
0.500 0.326 0.042
```

Output
As for the uncorrected formation energy: -797 meV/atom.



[2]
LiLaAl2 | PBE | relaxed

```
LiLaAl2
1.0
2.234 1.290 5.251
-2.234 1.290 5.251
0.000 -2.579 5.251
Li La Al
1 1 2
Direct
0.000 0.000 0.000
0.205 0.205 0.205
0.418 0.418 0.418
0.708 0.708 0.708
```

Output
For the distance to the lowest polymorph of the same formula, the calculation gives 0 meV/atom. The calculation puts the formation enthalpy at 0 K at -265 meV/atom.